No. 1
The following is a DFT calculation (PBE) of a geometry-optimized KNp3I8 structure.

Unit cell a=8.8312 b=8.8312 c=25.6739 alpha=90.00 beta=90.00 gamma=120.00
Space group R-3m (No. 166, hexagonal axes)
Inequivalent atoms, fractional coordinates:
K 0.0000 0.0000 0.0000 x3
Np 0.0000 0.5000 0.5000 x9
I 0.0000 0.0000 0.2408 x6
I 0.0030 0.5015 0.2382 x18

No. 2
The following is a DFT calculation (PBE) of a geometry-optimized K2NpI4 structure.

Unit cell a=6.187 b=6.187 c=17.948 alpha=90.00 beta=90.00 gamma=90.00
Space group I4/mmm (No. 139)
Inequivalent atoms, fractional coordinates:
K 0.000 0.000 0.132 x4
Np 0.000 0.000 0.500 x2
I 0.000 0.000 0.324 x4
I 0.000 0.500 0.000 x4

no.,E (eV per cell),formation energy without anion corrections (meV per atom)
1,-188.2,-867
2,-56.6,-997